[1]
Compound: Tb2NbPd9
Source: Alexandria via LeMat-Bulk
Functional: GGA-PBE
Structure: optimized geometry

abc: 4.0735 4.0735 12.2520
angles: 90.00 90.00 90.00
Last column: nearest neighbours and their distance in Å.
Fractional coordinates of all 12 atoms:
Tb  0.0000  0.0000  0.1665  12 Pd 2.88-3.00
Tb  0.0000  0.0000  0.8335  12 Pd 2.88-3.00
Nb  0.0000  0.0000  0.5000  12 Pd 2.77-2.88
Pd  0.0000  0.5000  0.0000  8 Pd 2.88-2.94, 4 Tb 2.88
Pd  0.0000  0.5000  0.3464  8 Pd 2.77-2.94, 2 Nb 2.77, 2 Tb 3.00
Pd  0.0000  0.5000  0.6536  2 Nb 2.77, 8 Pd 2.77-2.94, 2 Tb 3.00
Pd  0.5000  0.0000  0.0000  8 Pd 2.88-2.94, 4 Tb 2.88
Pd  0.5000  0.0000  0.3464  8 Pd 2.77-2.94, 2 Nb 2.77, 2 Tb 3.00
Pd  0.5000  0.0000  0.6536  2 Nb 2.77, 8 Pd 2.77-2.94, 2 Tb 3.00
Pd  0.5000  0.5000  0.1736  4 Tb 2.88, 8 Pd 2.94
Pd  0.5000  0.5000  0.5000  8 Pd 2.77, 4 Nb 2.88
Pd  0.5000  0.5000  0.8264  4 Tb 2.88, 8 Pd 2.94

Its energy relative to the elements is -0.740 eV/atom. As for the symmetry: P4/mmm.

[2]
Compound: ErCuAuO4
Source: Alexandria via LeMat-Bulk
Functional: GGA-PBE
Structure: optimized geometry

abc: 7.0723 7.0723 7.0723
angles: 127.96 120.80 82.69
Last column: nearest neighbours and their distance in Å.
Fractional coordinates of all 14 atoms:
Er  0.0000  0.0000  0.0000  6 O 2.24-2.32
Er  0.5000  0.0000  0.5000  6 O 2.24-2.32
Cu  0.3054  0.5554  0.7500  2 O 1.75
Cu  0.6946  0.4446  0.2500  2 O 1.75
Au  0.0000  0.0000  0.5000  4 O 2.06
Au  0.0000  0.5000  0.0000  4 O 2.06
O  0.1493  0.2141  0.9352  2 Au 2.06
O  0.2211  0.7859  0.4352  2 Au 2.06
O  0.2828  0.2528  0.4700  1 Cu 1.75
O  0.2828  0.8128  0.0300  1 Cu 1.75
O  0.7172  0.1872  0.9700  1 Cu 1.75
O  0.7172  0.7472  0.5300  1 Cu 1.75
O  0.7789  0.2141  0.5648  2 Au 2.06
O  0.8507  0.7859  0.0648  2 Au 2.06

As for the symmetry: Imma.

So what do the calculations give for raw total energy? Going down the list: -6.245, -5.847 eV/atom.
So what do the calculations give for magnetic moment? Going down the list: 0.00, 0.15 μB per atom.
So what do the calculations give for D(E_F)? Going down the list: 0.093, 0.450 states/eV/atom.